1.
DFT (PBE) results for a relaxed structure of Dy4Ni2Ag.

Calculated values
Total DFT energy (no corrections), eV per atom: -4.9726

Cell lengths 6.8405, 6.8824, 8.2528 Å; angles 107.77, 107.48, 105.64 degrees
Space group P1 (No. 1)
Symmetry-distinct sites (fractional):
1 Dy 0.0000 0.0000 0.0000 x1
2 Dy 0.0239 0.2090 0.5346 x1
3 Dy 0.0503 0.7378 0.5927 x1
4 Dy 0.1708 0.5234 0.0069 x1
5 Dy 0.4579 0.4725 0.4219 x1
6 Dy 0.5650 0.0656 0.1304 x1
7 Dy 0.6010 0.1126 0.7060 x1
8 Dy 0.7266 0.5797 0.1191 x1
9 Ni 0.3026 0.1927 0.8745 x1
10 Ni 0.6305 0.8479 0.3780 x1
11 Ni 0.8145 0.5335 0.7502 x1
12 Ni 0.9922 0.3837 0.2534 x1
13 Ag 0.2448 0.9208 0.3305 x1
14 Ag 0.4784 0.6582 0.7977 x1

2.
DFT (PBE) results for a relaxed structure of Dy2Ni2Ag.

Calculated values
Energy relative to the lowest polymorph listed for this composition, eV per atom: 0.010
Total DFT energy (no corrections), eV per atom: -5.1366

Cell lengths 7.3129, 7.3129, 3.6249 Å; angles 90.00, 90.00, 90.00 degrees
Space group P4/mbm (No. 127)
Symmetry-distinct sites (fractional):
1 Dy 0.1758 0.3242 0.0000 x4
2 Ni 0.1192 0.6192 0.5000 x4
3 Ag 0.0000 0.0000 0.5000 x2

3.
DFT (PBE) results for a relaxed structure of Dy3NiAg2.

Calculated values
Energy relative to the lowest polymorph listed for this composition, eV per atom: 0.000
Total DFT energy (no corrections), eV per atom: -4.5303

Cell lengths 5.0216, 5.0216, 6.1782 Å; angles 90.00, 90.00, 120.00 degrees
Space group P-3m1 (No. 164)
Symmetry-distinct sites (fractional):
1 Dy 0.0000 0.0000 0.0000 x1
2 Dy 0.3333 0.6667 0.6482 x2
3 Ni 0.0000 0.0000 0.5000 x1
4 Ag 0.3333 0.6667 0.1539 x2